Computed, not measured: a crystal of KSrBeAs2 relaxed with PBEsol at the SCAN level of DFT.

Lattice parameters (Å, degrees): 5.6226 5.6226 5.6886 90.00 90.00 90.00
Element x y z (fractional)
K 0.0000 0.0000 0.0000
Sr 0.5000 0.5000 0.5000
Be 0.5000 0.5000 0.0000
As 0.0000 0.5000 0.5000
As 0.5000 0.0000 0.5000

Computed properties:
**E**: -71.916 eV per formula unit
**Symmetry**: P4/mmm, No. 123
**Energy of formation**: 0.68 eV/atom
**Crystal system**: tetragonal